[1]
DFT (PBE) results for an optimized crystal structure of Sr3Li7Tl4.

Results
- ΔH_f (0 K) (meV per atom) = -238
- total magnetization (μB/f.u.) = 0.0
- raw total energy (eV/atom) = -2.232
- space group = C2/m, No. 12

Lattice parameters (Å, degrees): 8.981 8.981 10.262 122.39 122.39 32.14
Sites, in units of the cell vectors:
Sr  0.000  0.000  0.000
Sr  0.301  0.301  0.308
Sr  0.699  0.699  0.692
Li  0.000  0.000  0.500
Li  0.121  0.121  0.834
Li  0.319  0.319  0.670
Li  0.497  0.497  0.712
Li  0.503  0.503  0.288
Li  0.681  0.681  0.330
Li  0.879  0.879  0.166
Tl  0.117  0.117  0.396
Tl  0.322  0.322  0.981
Tl  0.678  0.678  0.019
Tl  0.883  0.883  0.604



[2]
DFT (PBE) results for an optimized crystal structure of Sr8Li2Tl.

Results
- ΔH_f (0 K) (meV per atom) = 1
- total magnetization (μB/f.u.) = 0.0
- raw total energy (eV/atom) = -1.785
- space group = Immm, No. 71
- distance to the lowest polymorph of the same formula (eV per atom) = 0.052

Lattice parameters (Å, degrees): 10.025 10.025 10.025 145.39 119.10 71.98
Sites, in units of the cell vectors:
Sr  0.121  0.344  0.777
Sr  0.131  0.131  0.000
Sr  0.317  0.000  0.317
Sr  0.433  0.656  0.777
Sr  0.567  0.344  0.223
Sr  0.683  0.000  0.683
Sr  0.869  0.869  0.000
Sr  0.879  0.656  0.223
Li  0.303  0.803  0.500
Li  0.697  0.197  0.500
Tl  0.000  0.500  0.500



[3]
DFT (PBE) results for an optimized crystal structure of SrLiTl2.

Results
- ΔH_f (0 K) (meV per atom) = -308
- total magnetization (μB/f.u.) = 0.0
- raw total energy (eV/atom) = -2.390
- space group = Cmcm, No. 63

Lattice parameters (Å, degrees): 6.919 6.919 5.084 90.00 90.00 111.15
Sites, in units of the cell vectors:
Sr  0.136  0.864  0.750
Sr  0.864  0.136  0.250
Li  0.361  0.639  0.250
Li  0.639  0.361  0.750
Tl  0.194  0.392  0.750
Tl  0.392  0.194  0.250
Tl  0.608  0.806  0.750
Tl  0.806  0.608  0.250



[4]
DFT (PBE) results for an optimized crystal structure of Sr5Li4Tl.

Results
- ΔH_f (0 K) (meV per atom) = -71
- total magnetization (μB/f.u.) = 0.0
- raw total energy (eV/atom) = -1.914
- space group = P4/mmm, No. 123

Lattice parameters (Å, degrees): 4.213 4.213 20.771 90.00 90.00 90.00
Sites, in units of the cell vectors:
Sr  0.000  0.000  0.000
Sr  0.000  0.000  0.202
Sr  0.000  0.000  0.407
Sr  0.000  0.000  0.593
Sr  0.000  0.000  0.798
Li  0.500  0.500  0.101
Li  0.500  0.500  0.305
Li  0.500  0.500  0.695
Li  0.500  0.500  0.899
Tl  0.500  0.500  0.500



[5]
DFT (PBE) results for an optimized crystal structure of Sr3LiTl2.

Results
- ΔH_f (0 K) (meV per atom) = -287
- total magnetization (μB/f.u.) = 0.0
- raw total energy (eV/atom) = -2.235
- space group = P4/mmm, No. 123
- distance to the lowest polymorph of the same formula (eV per atom) = 0.017

Lattice parameters (Å, degrees): 4.153 4.153 12.233 90.00 90.00 90.00
Sites, in units of the cell vectors:
Sr  0.000  0.000  0.000
Sr  0.000  0.000  0.322
Sr  0.000  0.000  0.678
Li  0.500  0.500  0.500
Tl  0.500  0.500  0.162
Tl  0.500  0.500  0.838



[6]
DFT (PBE) results for an optimized crystal structure of Sr2Li6Tl.

Results
- ΔH_f (0 K) (meV per atom) = -89
- total magnetization (μB/f.u.) = 0.0
- raw total energy (eV/atom) = -2.001
- space group = P-3m1, No. 164

Lattice parameters (Å, degrees): 6.298 6.298 6.964 90.00 90.00 120.00
Sites, in units of the cell vectors:
Sr  0.333  0.667  0.369
Sr  0.667  0.333  0.631
Li  0.171  0.342  0.842
Li  0.171  0.829  0.842
Li  0.342  0.171  0.158
Li  0.658  0.829  0.842
Li  0.829  0.171  0.158
Li  0.829  0.658  0.158
Tl  0.000  0.000  0.500